--- A ---
The following is a DFT calculation (PBE) of a geometry-optimized Sn2BN structure.

D(E_F) = 0.00 states/eV per cell

a = 6.365 Å, b = 6.365 Å, c = 6.365 Å
α = 132.42°, β = 132.42°, γ = 69.57°
Positions (direct):
Sn 0.123 0.625 0.998
Sn 0.375 0.373 0.498
Sn 0.627 0.125 0.002
Sn 0.875 0.877 0.502
B 0.250 0.750 0.500
B 0.500 0.500 0.000
N 0.000 0.000 0.000
N 0.750 0.250 0.500

=====

--- B ---
The following is a DFT calculation (PBE) of a geometry-optimized Sn2BN structure.

D(E_F) = 2.63 states/eV per cell

a = 4.412 Å, b = 4.412 Å, c = 4.412 Å
α = 60.00°, β = 60.00°, γ = 60.00°
Positions (direct):
Sn 0.250 0.250 0.250
Sn 0.750 0.750 0.750
B 0.000 0.000 0.000
N 0.500 0.500 0.500

=====

Relative calculated energies, zero for the most stable structure, unit meV/atom: A 0; B 1077.

=====

--- A ---
The following is a DFT calculation (PBE) of a geometry-optimized SnBN2 structure.

D(E_F) = 1.97 states/eV per cell

a = 3.870 Å, b = 3.870 Å, c = 3.870 Å
α = 60.00°, β = 60.00°, γ = 60.00°
Positions (direct):
Sn 0.000 0.000 0.000
B 0.500 0.500 0.500
N 0.250 0.250 0.250
N 0.750 0.750 0.750

=====

--- B ---
The following is a DFT calculation (PBE) of a geometry-optimized SnBN2 structure.

D(E_F) = 1.15 states/eV per cell

a = 5.453 Å, b = 5.453 Å, c = 5.453 Å
α = 38.27°, β = 38.27°, γ = 38.27°
Positions (direct):
Sn 0.000 0.000 0.000
B 0.500 0.500 0.500
N 0.411 0.411 0.411
N 0.589 0.589 0.589

=====

Relative calculated energies, zero for the most stable structure, unit meV/atom: A 2042; B 0.

=====

--- A ---
The following is a DFT calculation (PBE) of a geometry-optimized SnBTe2N structure.

D(E_F) = 5.90 states/eV per cell

a = 5.942 Å, b = 5.942 Å, c = 3.840 Å
α = 90.00°, β = 90.00°, γ = 90.00°
Positions (direct):
Sn 0.000 0.000 0.000
B 0.500 0.500 0.500
Te 0.000 0.500 0.000
Te 0.500 0.000 0.000
N 0.000 0.000 0.500

=====

--- B ---
The following is a DFT calculation (PBE) of a geometry-optimized SnBTe2N structure.

D(E_F) = 2.56 states/eV per cell

a = 6.620 Å, b = 6.620 Å, c = 2.765 Å
α = 90.00°, β = 90.00°, γ = 90.00°
Positions (direct):
Sn 0.000 0.000 0.000
B 0.500 0.500 0.500
Te 0.000 0.500 0.500
Te 0.500 0.000 0.500
N 0.500 0.500 0.000

=====

Relative calculated energies, zero for the most stable structure, unit meV/atom: A 1512; B 0.

=====

--- A ---
The following is a DFT calculation (PBE) of a geometry-optimized SrBN structure.

D(E_F) = 0.00 states/eV per cell

a = 4.516 Å, b = 4.516 Å, c = 4.516 Å
α = 124.86°, β = 124.86°, γ = 81.76°
Positions (direct):
Sr 0.000 0.000 0.000
B 0.428 0.428 0.000
N 0.617 0.617 0.000

=====

--- B ---
The following is a DFT calculation (PBE) of a geometry-optimized SrBN structure.

D(E_F) = 4.46 states/eV per cell

a = 7.705 Å, b = 3.500 Å, c = 6.652 Å
α = 90.00°, β = 90.00°, γ = 90.00°
Positions (direct):
Sr 0.172 0.250 0.147
Sr 0.328 0.750 0.647
Sr 0.672 0.250 0.353
Sr 0.828 0.750 0.853
B 0.025 0.250 0.576
B 0.475 0.750 0.076
B 0.525 0.250 0.924
B 0.975 0.750 0.424
N 0.080 0.250 0.773
N 0.420 0.750 0.273
N 0.580 0.250 0.727
N 0.920 0.750 0.227

=====

Relative calculated energies, zero for the most stable structure, unit meV/atom: A 121; B 0.

=====

--- A ---
The following is a DFT calculation (PBE) of a geometry-optimized SrB2N2 structure.

D(E_F) = 2.33 states/eV per cell

a = 6.229 Å, b = 6.229 Å, c = 6.229 Å
α = 132.38°, β = 132.38°, γ = 69.64°
Positions (direct):
Sr 0.250 0.250 0.000
Sr 0.750 0.750 0.000
B 0.140 0.640 0.780
B 0.360 0.140 0.500
B 0.640 0.860 0.500
B 0.860 0.360 0.220
N 0.160 0.340 0.500
N 0.340 0.840 0.181
N 0.660 0.160 0.819
N 0.840 0.660 0.500

=====

--- B ---
The following is a DFT calculation (PBE) of a geometry-optimized SrB2N2 structure.

D(E_F) = 0.00 states/eV per cell

a = 4.040 Å, b = 4.040 Å, c = 7.076 Å
α = 105.98°, β = 105.98°, γ = 60.09°
Positions (direct):
Sr 0.000 0.000 0.000
B 0.459 0.459 0.379
B 0.541 0.541 0.621
N 0.394 0.394 0.189
N 0.606 0.606 0.811

=====

Relative calculated energies, zero for the most stable structure, unit meV/atom: A 49; B 0.

=====

--- A ---
The following is a DFT calculation (PBE) of a geometry-optimized Sr2BN2 structure.

D(E_F) = 1.84 states/eV per cell

a = 6.243 Å, b = 6.243 Å, c = 6.243 Å
α = 143.99°, β = 143.99°, γ = 51.85°
Positions (direct):
Sr 0.146 0.146 0.000
Sr 0.854 0.854 0.000
B 0.500 0.500 0.000
N 0.376 0.376 0.000
N 0.624 0.624 0.000

=====

--- B ---
The following is a DFT calculation (PBE) of a geometry-optimized Sr2BN2 structure.

D(E_F) = 3.20 states/eV per cell

a = 7.691 Å, b = 7.691 Å, c = 6.529 Å
α = 90.00°, β = 90.00°, γ = 157.08°
Positions (direct):
Sr 0.039 0.961 0.500
Sr 0.228 0.772 0.216
Sr 0.772 0.228 0.716
Sr 0.961 0.039 0.000
B 0.385 0.615 0.472
B 0.615 0.385 0.972
N 0.136 0.864 0.858
N 0.416 0.584 0.678
N 0.584 0.416 0.178
N 0.864 0.136 0.358

=====

Relative calculated energies, zero for the most stable structure, unit meV/atom: A 0; B 379.

=====

--- A ---
The following is a DFT calculation (PBE) of a geometry-optimized SrB3N structure.

D(E_F) = 4.61 states/eV per cell

a = 5.498 Å, b = 5.498 Å, c = 5.498 Å
α = 90.00°, β = 90.00°, γ = 90.00°
Positions (direct):
Sr 0.000 0.000 0.000
B 0.000 0.000 0.500
B 0.000 0.500 0.000
B 0.500 0.000 0.000
N 0.500 0.500 0.500

=====

--- B ---
The following is a DFT calculation (PBE) of a geometry-optimized SrB3N structure.

D(E_F) = 2.61 states/eV per cell

a = 3.990 Å, b = 3.990 Å, c = 3.990 Å
α = 90.00°, β = 90.00°, γ = 90.00°
Positions (direct):
Sr 0.000 0.000 0.000
B 0.000 0.500 0.500
B 0.500 0.000 0.500
B 0.500 0.500 0.000
N 0.500 0.500 0.500

=====

Relative calculated energies, zero for the most stable structure, unit meV/atom: A 1797; B 0.

=====

--- A ---
The following is a DFT calculation (PBE) of a geometry-optimized SrBTe2N structure.

D(E_F) = 7.52 states/eV per cell

a = 6.308 Å, b = 6.308 Å, c = 4.308 Å
α = 90.00°, β = 90.00°, γ = 90.00°
Positions (direct):
Sr 0.000 0.000 0.000
B 0.500 0.500 0.500
Te 0.000 0.500 0.000
Te 0.500 0.000 0.000
N 0.000 0.000 0.500

=====

--- B ---
The following is a DFT calculation (PBE) of a geometry-optimized SrBTe2N structure.

D(E_F) = 2.74 states/eV per cell

a = 6.414 Å, b = 6.414 Å, c = 2.822 Å
α = 90.00°, β = 90.00°, γ = 90.00°
Positions (direct):
Sr 0.000 0.000 0.000
B 0.500 0.500 0.500
Te 0.000 0.500 0.500
Te 0.500 0.000 0.500
N 0.500 0.500 0.000

=====

Relative calculated energies, zero for the most stable structure, unit meV/atom: A 1985; B 0.

=====

--- A ---
The following is a DFT calculation (PBE) of a geometry-optimized Ta2BN structure.

D(E_F) = 3.34 states/eV per cell

a = 5.998 Å, b = 5.998 Å, c = 5.998 Å
α = 132.46°, β = 132.46°, γ = 69.50°
Positions (direct):
Ta 0.110 0.625 0.985
Ta 0.375 0.360 0.485
Ta 0.640 0.125 0.015
Ta 0.875 0.890 0.515
B 0.250 0.750 0.500
B 0.500 0.500 0.000
N 0.000 0.000 0.000
N 0.750 0.250 0.500

=====

--- B ---
The following is a DFT calculation (PBE) of a geometry-optimized Ta2BN structure.

D(E_F) = 2.77 states/eV per cell

a = 4.003 Å, b = 4.003 Å, c = 4.003 Å
α = 60.00°, β = 60.00°, γ = 60.00°
Positions (direct):
Ta 0.250 0.250 0.250
Ta 0.750 0.750 0.750
B 0.000 0.000 0.000
N 0.500 0.500 0.500

=====

--- C ---
The following is a DFT calculation (PBE) of a geometry-optimized Ta2BN structure.

D(E_F) = 1.12 states/eV per cell

a = 5.559 Å, b = 5.559 Å, c = 5.559 Å
α = 33.36°, β = 33.36°, γ = 33.36°
Positions (direct):
Ta 0.247 0.247 0.247
Ta 0.753 0.753 0.753
B 0.500 0.500 0.500
N 0.000 0.000 0.000

=====

Relative calculated energies, zero for the most stable structure, unit meV/atom: A 500; B 893; C 0.

=====

--- A ---
The following is a DFT calculation (PBE) of a geometry-optimized TaB3N structure.

D(E_F) = 2.64 states/eV per cell

a = 3.530 Å, b = 3.530 Å, c = 3.530 Å
α = 90.00°, β = 90.00°, γ = 90.00°
Positions (direct):
Ta 0.000 0.000 0.000
B 0.000 0.500 0.500
B 0.500 0.000 0.500
B 0.500 0.500 0.000
N 0.500 0.500 0.500

=====

--- B ---
The following is a DFT calculation (PBE) of a geometry-optimized TaB3N structure.

D(E_F) = 4.00 states/eV per cell

a = 4.374 Å, b = 4.374 Å, c = 4.374 Å
α = 90.00°, β = 90.00°, γ = 90.00°
Positions (direct):
Ta 0.000 0.000 0.000
B 0.000 0.000 0.500
B 0.000 0.500 0.000
B 0.500 0.000 0.000
N 0.500 0.500 0.500

=====

Relative calculated energies, zero for the most stable structure, unit meV/atom: A 0; B 1434.

=====

--- A ---
The following is a DFT calculation (PBE) of a geometry-optimized TaBTe2N structure.

D(E_F) = 2.73 states/eV per cell

a = 5.683 Å, b = 5.683 Å, c = 2.819 Å
α = 90.00°, β = 90.00°, γ = 90.00°
Positions (direct):
Ta 0.000 0.000 0.000
B 0.500 0.500 0.500
Te 0.000 0.500 0.500
Te 0.500 0.000 0.500
N 0.500 0.500 0.000

=====

--- B ---
The following is a DFT calculation (PBE) of a geometry-optimized TaBTe2N structure.

D(E_F) = 3.19 states/eV per cell

a = 5.533 Å, b = 5.533 Å, c = 3.885 Å
α = 90.00°, β = 90.00°, γ = 90.00°
Positions (direct):
Ta 0.000 0.000 0.000
B 0.500 0.500 0.500
Te 0.000 0.500 0.000
Te 0.500 0.000 0.000
N 0.000 0.000 0.500

=====

Relative calculated energies, zero for the most stable structure, unit meV/atom: A 0; B 409.

=====

--- A ---
The following is a DFT calculation (PBE) of a geometry-optimized TbBN2 structure.

D(E_F) = 0.00 states/eV per cell

a = 5.439 Å, b = 5.439 Å, c = 5.439 Å
α = 39.34°, β = 39.34°, γ = 39.34°
Positions (direct):
Tb 0.000 0.000 0.000
B 0.500 0.500 0.500
N 0.411 0.411 0.411
N 0.589 0.589 0.589

=====

--- B ---
The following is a DFT calculation (PBE) of a geometry-optimized TbBN2 structure.

a = 10.480 Å, b = 2.876 Å, c = 6.166 Å
α = 90.00°, β = 90.00°, γ = 90.00°
Positions (direct):
Tb 0.107 0.250 0.181
Tb 0.393 0.750 0.681
Tb 0.607 0.250 0.319
Tb 0.893 0.750 0.819
B 0.124 0.250 0.627
B 0.376 0.750 0.127
B 0.624 0.250 0.873
B 0.876 0.750 0.373
N 0.055 0.250 0.823
N 0.160 0.750 0.517
N 0.340 0.250 0.017
N 0.445 0.750 0.323
N 0.555 0.250 0.677
N 0.660 0.750 0.983
N 0.840 0.250 0.483
N 0.945 0.750 0.177

=====

Relative calculated energies, zero for the most stable structure, unit meV/atom: A 0; B 531.